1.
{"formula": "PmGdBi", "functional": "GGA-PBE", "state": "optimized geometry", "volume_a3_per_atom": 34.08, "e_above_lowest_polymorph_kj_per_mol_fu": 0, "lattice_angstrom": [[-4.8986, -1.7656, 0.6597], [-3.9357, 2.0786, -2.7817], [-2.3088, -2.8097, -3.7846]], "species": ["Pm", "Bi", "Gd"], "fractional_positions": [[0.7500, 0.7500, 0.7500], [0.0000, 0.0000, 0.0000], [0.2500, 0.2500, 0.2500]]}


2.
{"formula": "Pr2GdBi3", "functional": "GGA-PBE", "state": "optimized geometry", "volume_a3_per_atom": 33.99, "energy_ev_per_atom": -5.34, "lattice_angstrom": [[4.5755, 0.0000, 0.0000], [-2.2878, 3.9625, 0.0000], [0.0000, 0.0000, 11.2488]], "species": ["Gd", "Pr", "Bi", "Pr", "Bi", "Bi"], "fractional_positions": [[0.0000, 0.0000, 0.5000], [0.3333, 0.6667, 0.8295], [0.3333, 0.6667, 0.3404], [0.6667, 0.3333, 0.1705], [0.6667, 0.3333, 0.6596], [0.0000, 0.0000, 0.0000]]}


3.
{"formula": "PrGdBi2Te2", "functional": "GGA-PBE", "state": "optimized geometry", "volume_a3_per_atom": 31.36, "energy_ev_per_atom": -5.04, "lattice_angstrom": [[4.4455, 0.0000, 0.0000], [0.0000, 4.4455, 0.0000], [0.0000, 0.0000, 9.5209]], "species": ["Pr", "Te", "Bi", "Gd", "Bi", "Te"], "fractional_positions": [[0.5000, 0.5000, 0.2831], [0.5000, 0.5000, 0.6303], [0.5000, 0.0000, 0.9966], [0.0000, 0.0000, 0.7150], [0.0000, 0.5000, 0.9966], [0.0000, 0.0000, 0.3785]]}


4.
{"formula": "Gd5BiPt2", "functional": "GGA-PBE", "state": "optimized geometry", "volume_a3_per_atom": 26.90, "energy_ev_per_atom": -5.84, "lattice_angstrom": [[-3.9550, 3.9550, 6.8802], [3.9550, -3.9550, 6.8802], [3.9550, 3.9550, -6.8802]], "species": ["Gd", "Pt", "Gd", "Pt", "Gd", "Gd", "Bi", "Gd", "Gd", "Gd", "Pt", "Pt", "Gd", "Bi", "Gd", "Gd"], "fractional_positions": [[0.7928, 0.2928, 0.8121], [0.6386, 0.8614, 0.5000], [0.2072, 0.7072, 0.1879], [0.3614, 0.1386, 0.5000], [0.0192, 0.2072, 0.5000], [0.7072, 0.5192, 0.5000], [0.7500, 0.7500, 0.0000], [0.9808, 0.7928, 0.5000], [0.2928, 0.4808, 0.5000], [0.5000, 0.5000, 0.0000], [0.8614, 0.3614, 0.2227], [0.1386, 0.6386, 0.7773], [0.0000, 0.0000, 0.0000], [0.2500, 0.2500, 0.0000], [0.5192, 0.0192, 0.8121], [0.4808, 0.9808, 0.1879]]}


5.
{"formula": "GdBiPt", "functional": "GGA-PBE", "state": "optimized geometry", "volume_a3_per_atom": 23.99, "energy_ev_per_atom": -5.33, "lattice_angstrom": [[5.2280, 0.0000, 0.0000], [-2.6140, 4.5276, 0.0000], [0.0000, 0.0000, 6.0802]], "species": ["Pt", "Gd", "Gd", "Bi", "Pt", "Bi"], "fractional_positions": [[0.0000, 0.0000, 0.0000], [0.6667, 0.3333, 0.2500], [0.3333, 0.6667, 0.7500], [0.6667, 0.3333, 0.7500], [0.0000, 0.0000, 0.5000], [0.3333, 0.6667, 0.2500]]}


6.
{"formula": "GdBiPt", "functional": "GGA-PBE", "state": "optimized geometry", "volume_a3_per_atom": 24.71, "energy_ev_per_atom": -5.70, "lattice_angstrom": [[4.7023, 0.0000, 0.0000], [-2.3511, 4.0723, 0.0000], [0.0000, 0.0000, 7.7427]], "species": ["Pt", "Bi", "Gd", "Bi", "Pt", "Gd"], "fractional_positions": [[0.6667, 0.3333, 0.7500], [0.6667, 0.3333, 0.2500], [0.0000, 0.0000, 0.5000], [0.3333, 0.6667, 0.7500], [0.3333, 0.6667, 0.2500], [0.0000, 0.0000, 0.0000]]}


7.
{"formula": "GdBiPt", "functional": "GGA-PBE", "state": "optimized geometry", "volume_a3_per_atom": 25.84, "energy_ev_per_atom": -5.97, "lattice_angstrom": [[1.8823, -3.4840, 2.6883], [2.7655, 1.0990, 3.7487], [-1.6054, -0.7205, 4.4511]], "species": ["Bi", "Gd", "Pt"], "fractional_positions": [[0.2500, 0.2500, 0.2500], [0.7500, 0.7500, 0.7500], [0.0000, 0.0000, 0.0000]]}


8.
{"formula": "GdBiPt", "functional": "GGA-PBE", "state": "optimized geometry", "volume_a3_per_atom": 24.08, "energy_ev_per_atom": -5.35, "lattice_angstrom": [[-2.2435, -7.4170, -3.3378], [6.8762, 3.9903, -2.8253], [1.9545, -1.6703, 2.3979]], "species": ["Bi", "Pt", "Gd", "Pt", "Gd", "Gd", "Bi", "Bi", "Pt"], "fractional_positions": [[0.3333, 0.6667, 0.0000], [0.0000, 0.6503, 0.5000], [0.7007, 0.7007, 0.0000], [0.3497, 0.3497, 0.5000], [0.0000, 0.2993, 0.0000], [0.2993, 0.0000, 0.0000], [0.0000, 0.0000, 0.5000], [0.6667, 0.3333, 0.0000], [0.6503, 0.0000, 0.5000]]}


9.
{"formula": "GdBiPt", "functional": "GGA-PBE", "state": "optimized geometry", "volume_a3_per_atom": 23.99, "energy_ev_per_atom": -5.79, "lattice_angstrom": [[7.6834, 0.0000, 0.0000], [-3.8417, 6.6540, 0.0000], [0.0000, 0.0000, 4.2229]], "species": ["Pt", "Gd", "Pt", "Gd", "Pt", "Bi", "Bi", "Bi", "Gd"], "fractional_positions": [[0.0000, 0.0000, 0.5000], [0.3952, 0.3952, 0.5000], [0.3333, 0.6667, 0.0000], [0.0000, 0.6048, 0.5000], [0.6667, 0.3333, 0.0000], [0.0000, 0.2689, 0.0000], [0.7311, 0.7311, 0.0000], [0.2689, 0.0000, 0.0000], [0.6048, 0.0000, 0.5000]]}


10.
{"formula": "GdBiPt", "functional": "GGA-PBE", "state": "optimized geometry", "volume_a3_per_atom": 28.15, "energy_ev_per_atom": -5.26, "lattice_angstrom": [[0.0000, 3.4824, 3.4824], [3.4824, 0.0000, 3.4824], [3.4824, 3.4824, 0.0000]], "species": ["Bi", "Pt", "Gd"], "fractional_positions": [[0.2500, 0.2500, 0.2500], [0.7500, 0.7500, 0.7500], [0.0000, 0.0000, 0.0000]]}


11.
{"formula": "GdPuBi", "functional": "GGA-PBE", "state": "optimized geometry", "volume_a3_per_atom": 34.28, "energy_ev_per_atom": -7.46, "lattice_angstrom": [[0.0000, 3.7185, 3.7185], [3.7185, 0.0000, 3.7185], [3.7185, 3.7185, 0.0000]], "species": ["Bi", "Gd", "Pu"], "fractional_positions": [[0.2500, 0.2500, 0.2500], [0.7500, 0.7500, 0.7500], [0.0000, 0.0000, 0.0000]]}


12.
{"formula": "Rb2Gd4Bi", "functional": "GGA-PBE", "state": "optimized geometry", "volume_a3_per_atom": 39.21, "energy_ev_per_atom": -2.73, "lattice_angstrom": [[-4.4746, 4.4746, 3.4268], [4.4746, -4.4746, 3.4268], [4.4746, 4.4746, -3.4268]], "species": ["Gd", "Gd", "Gd", "Rb", "Bi", "Gd", "Rb"], "fractional_positions": [[0.3005, 0.3005, 0.6011], [0.3005, 0.6995, 0.0000], [0.6995, 0.6995, 0.3989], [0.7500, 0.2500, 0.5000], [0.0000, 0.0000, 0.0000], [0.6995, 0.3005, 0.0000], [0.2500, 0.7500, 0.5000]]}


13.
{"formula": "GdReBi", "functional": "GGA-PBE", "state": "optimized geometry", "volume_a3_per_atom": 27.83, "energy_ev_per_atom": -5.88, "lattice_angstrom": [[0.0000, 3.4690, 3.4690], [3.4690, 0.0000, 3.4690], [3.4690, 3.4690, 0.0000]], "species": ["Re", "Bi", "Gd"], "fractional_positions": [[0.7500, 0.7500, 0.7500], [0.2500, 0.2500, 0.2500], [0.0000, 0.0000, 0.0000]]}


14.
{"formula": "Gd3Bi2S", "functional": "GGA-PBE", "state": "optimized geometry", "volume_a3_per_atom": 28.60, "energy_ev_per_atom": -5.59, "lattice_angstrom": [[-0.4721, -1.9035, -3.8434], [3.3512, -1.0241, 2.5177], [-5.7619, -7.7177, 4.5301]], "species": ["Bi", "Gd", "Bi", "Gd", "S", "Gd"], "fractional_positions": [[0.3333, 0.6667, 0.3204], [0.0000, 0.0000, 0.5000], [0.6667, 0.3333, 0.6796], [0.6667, 0.3333, 0.1395], [0.0000, 0.0000, 0.0000], [0.3333, 0.6667, 0.8605]]}


15.
{"formula": "Gd3BiS2", "functional": "GGA-PBE", "state": "optimized geometry", "volume_a3_per_atom": 24.93, "energy_ev_per_atom": -5.98, "lattice_angstrom": [[-2.0249, 1.7971, -3.1102], [1.2991, -3.8966, -0.3638], [-8.8109, -3.2953, 3.8322]], "species": ["Gd", "Gd", "S", "Gd", "S", "Bi"], "fractional_positions": [[0.6667, 0.3333, 0.2006], [0.0000, 0.0000, 0.5000], [0.6667, 0.3333, 0.6522], [0.3333, 0.6667, 0.7994], [0.3333, 0.6667, 0.3478], [0.0000, 0.0000, 0.0000]]}


16.
{"formula": "SmGdBi2S2", "functional": "GGA-PBE", "state": "optimized geometry", "volume_a3_per_atom": 26.40, "energy_ev_per_atom": -5.56, "lattice_angstrom": [[4.2357, 0.0000, 0.0000], [0.0000, 4.2357, 0.0000], [0.0000, 0.0000, 8.8281]], "species": ["Bi", "Gd", "Sm", "S", "S", "Bi"], "fractional_positions": [[0.0000, 0.5000, 0.9986], [0.0000, 0.0000, 0.6837], [0.5000, 0.5000, 0.3155], [0.5000, 0.5000, 0.6291], [0.0000, 0.0000, 0.3745], [0.5000, 0.0000, 0.9986]]}


17.
{"formula": "TbGdBi2S2", "functional": "GGA-PBE", "state": "optimized geometry", "volume_a3_per_atom": 25.99, "energy_ev_per_atom": -5.51, "lattice_angstrom": [[4.2203, 0.0000, 0.0000], [0.0000, 4.2203, 0.0000], [0.0000, 0.0000, 8.7549]], "species": ["Tb", "Gd", "Bi", "Bi", "S", "S"], "fractional_positions": [[0.5000, 0.5000, 0.3165], [0.0000, 0.0000, 0.6840], [0.0000, 0.5000, 0.0005], [0.5000, 0.0000, 0.0005], [0.5000, 0.5000, 0.6259], [0.0000, 0.0000, 0.3726]]}


18.
{"formula": "Gd3Bi2Sb", "functional": "GGA-PBE", "state": "optimized geometry", "volume_a3_per_atom": 31.57, "energy_ev_per_atom": -5.36, "lattice_angstrom": [[-1.8053, -2.0569, -3.5324], [1.1519, -2.3629, 3.6135], [-9.9962, 1.5548, 4.2033]], "species": ["Bi", "Sb", "Bi", "Gd", "Gd", "Gd"], "fractional_positions": [[0.6667, 0.3333, 0.6682], [0.0000, 0.0000, 0.0000], [0.3333, 0.6667, 0.3318], [0.6667, 0.3333, 0.1617], [0.3333, 0.6667, 0.8383], [0.0000, 0.0000, 0.5000]]}


19.
{"formula": "GdScBi", "functional": "GGA-PBE", "state": "optimized geometry", "volume_a3_per_atom": 30.52, "e_above_lowest_polymorph_kj_per_mol_fu": 0, "lattice_angstrom": [[0.0000, 3.5772, 3.5772], [3.5772, 0.0000, 3.5772], [3.5772, 3.5772, 0.0000]], "species": ["Sc", "Bi", "Gd"], "fractional_positions": [[0.7500, 0.7500, 0.7500], [0.0000, 0.0000, 0.0000], [0.2500, 0.2500, 0.2500]]}


20.
{"formula": "Gd3BiSe2", "functional": "GGA-PBE", "state": "optimized geometry", "volume_a3_per_atom": 27.03, "energy_ev_per_atom": -5.65, "lattice_angstrom": [[4.2589, 0.0000, 0.0000], [-2.1295, 3.6883, 0.0000], [0.0000, 0.0000, 10.3240]], "species": ["Gd", "Se", "Se", "Bi", "Gd", "Gd"], "fractional_positions": [[0.0000, 0.0000, 0.5000], [0.3333, 0.6667, 0.3431], [0.6667, 0.3333, 0.6569], [0.0000, 0.0000, 0.0000], [0.6667, 0.3333, 0.1882], [0.3333, 0.6667, 0.8118]]}


21.
{"formula": "GdSiBi", "functional": "GGA-PBE", "state": "optimized geometry", "volume_a3_per_atom": 28.46, "e_above_lowest_polymorph_kj_per_mol_fu": 0, "lattice_angstrom": [[2.4392, 2.1851, 3.7021], [-2.2102, 0.6480, 4.3732], [1.4415, -2.6512, 3.9145]], "species": ["Bi", "Si", "Gd"], "fractional_positions": [[0.2500, 0.2500, 0.2500], [0.0000, 0.0000, 0.0000], [0.7500, 0.7500, 0.7500]]}


22.
{"formula": "GdSiBi", "functional": "GGA-PBE", "state": "optimized geometry", "volume_a3_per_atom": 30.20, "e_above_lowest_polymorph_kj_per_mol_fu": 61, "lattice_angstrom": [[-3.3608, 0.1179, 3.7558], [-4.7705, -1.3958, -0.8416], [-1.7486, -4.3057, 1.9539]], "species": ["Gd", "Bi", "Si"], "fractional_positions": [[0.0000, 0.0000, 0.0000], [0.2500, 0.2500, 0.2500], [0.7500, 0.7500, 0.7500]]}


23.
{"formula": "SmGdBi", "functional": "GGA-PBE", "state": "optimized geometry", "volume_a3_per_atom": 33.88, "energy_ev_per_atom": -4.85, "lattice_angstrom": [[-0.7826, 2.8514, 4.3241], [0.2841, 5.2260, -0.2217], [-4.3471, 2.8823, 0.4856]], "species": ["Sm", "Gd", "Bi"], "fractional_positions": [[0.7500, 0.7500, 0.7500], [0.2500, 0.2500, 0.2500], [0.0000, 0.0000, 0.0000]]}


24.
{"formula": "SmGd2Bi3", "functional": "GGA-PBE", "state": "optimized geometry", "volume_a3_per_atom": 32.29, "energy_ev_per_atom": -5.28, "lattice_angstrom": [[-4.1520, -1.5961, -0.6824], [2.1161, -0.8217, 3.8859], [-4.2591, 9.2513, 4.2755]], "species": ["Gd", "Bi", "Gd", "Sm", "Bi", "Bi"], "fractional_positions": [[0.3333, 0.6667, 0.8341], [0.3333, 0.6667, 0.3312], [0.6667, 0.3333, 0.1659], [0.0000, 0.0000, 0.5000], [0.0000, 0.0000, 0.0000], [0.6667, 0.3333, 0.6688]]}


25.
{"formula": "Sm2GdBi3", "functional": "GGA-PBE", "state": "optimized geometry", "volume_a3_per_atom": 32.56, "energy_ev_per_atom": -5.30, "lattice_angstrom": [[-3.4685, -1.8227, -2.2371], [4.2325, -1.0610, -1.1478], [-0.1768, -8.4532, 7.1616]], "species": ["Sm", "Sm", "Bi", "Bi", "Bi", "Gd"], "fractional_positions": [[0.6667, 0.3333, 0.1676], [0.3333, 0.6667, 0.8324], [0.3333, 0.6667, 0.3357], [0.6667, 0.3333, 0.6643], [0.0000, 0.0000, 0.0000], [0.0000, 0.0000, 0.5000]]}


26.
{"formula": "SmGdBi2Te2", "functional": "GGA-PBE", "state": "optimized geometry", "volume_a3_per_atom": 30.75, "energy_ev_per_atom": -5.01, "lattice_angstrom": [[-2.5888, 1.0264, 3.4376], [-2.5544, -3.5039, -0.8775], [5.3684, -5.3240, 5.6325]], "species": ["Bi", "Gd", "Te", "Sm", "Te", "Bi"], "fractional_positions": [[0.5000, 0.0000, 0.9994], [0.0000, 0.0000, 0.7156], [0.5000, 0.5000, 0.6267], [0.5000, 0.5000, 0.2838], [0.0000, 0.0000, 0.3750], [0.0000, 0.5000, 0.9994]]}


27.
{"formula": "SmGdZr2Bi2", "functional": "GGA-PBE", "state": "optimized geometry", "volume_a3_per_atom": 27.03, "energy_ev_per_atom": -6.34, "lattice_angstrom": [[-2.1773, 2.1773, 8.5521], [2.1773, -2.1773, 8.5521], [2.1773, 2.1773, -8.5521]], "species": ["Bi", "Bi", "Zr", "Sm", "Gd", "Zr"], "fractional_positions": [[0.8677, 0.8677, 0.0000], [0.1327, 0.1327, 0.0000], [0.5003, 0.0003, 0.5000], [0.3228, 0.3228, 0.0000], [0.6762, 0.6762, 0.0000], [0.0003, 0.5003, 0.5000]]}


28.
{"formula": "TbGdBi", "functional": "GGA-PBE", "state": "optimized geometry", "volume_a3_per_atom": 33.06, "energy_ev_per_atom": -4.78, "lattice_angstrom": [[-3.6006, -3.6009, 1.0308], [-4.8690, 0.6344, -1.6981], [-1.8323, -3.0092, -3.8185]], "species": ["Bi", "Gd", "Tb"], "fractional_positions": [[0.0000, 0.0000, 0.0000], [0.2500, 0.2500, 0.2500], [0.7500, 0.7500, 0.7500]]}